Material: KBa2CdO
Method: DFT, PBE
State: optimized geometry

Output
**Calculated total energy**: -3.131 eV per atom
**Mass density**: 4277 kg/m3
**ΔE_f (raw)**: -467 kJ/mol of formula units

a = 5.449 Å, b = 5.449 Å, c = 5.783 Å
α = 90.00°, β = 90.00°, γ = 90.00°
Space group P4/mmm (No. 123)
Asymmetric unit:
K: 0.000 0.000 0.000 (multiplicity 1)
Ba: 0.000 0.500 0.500 (multiplicity 2)
Cd: 0.500 0.500 0.000 (multiplicity 1)
O: 0.000 0.000 0.500 (multiplicity 1)

Material: K2BaCdO
Method: DFT, PBE
State: optimized geometry

Output
**Calculated total energy**: -2.800 eV per atom
**Mass density**: 3380 kg/m3
**ΔE_f (raw)**: -387 kJ/mol of formula units

a = 5.658 Å, b = 5.658 Å, c = 5.280 Å
α = 90.00°, β = 90.00°, γ = 90.00°
Space group P4/mmm (No. 123)
Asymmetric unit:
K: 0.000 0.500 0.000 (multiplicity 2)
Ba: 0.000 0.000 0.500 (multiplicity 1)
Cd: 0.500 0.500 0.500 (multiplicity 1)
O: 0.000 0.000 0.000 (multiplicity 1)